The following is a PBE+U calculation of crystalline CeCoSbO6 at its relaxed geometry, from Alexandria via LeMat-Bulk.

It has space group P4_2nm (No. 102), with a = 4.8569 Å, b = 4.8569 Å, c = 9.7655 Å, α = 90.00°, β = 90.00° and γ = 90.00°. Symmetry generates all atoms from Ce at (0.0000, 0.0000, 0.0000), Co at (0.0000, 0.0000, 0.3310), Sb at (0.0000, 0.0000, 0.6639), O at (0.1783, 0.1783, 0.4985), O at (0.2083, 0.2083, 0.1736) and O at (0.2080, 0.2080, 0.8139).

The calculation puts the total moment at 8.03 μB/cell. The total DFT energy (no corrections) is -6.8306 eV per atom.